(1)
A geometry-optimized GdBiPd structure. Source: Alexandria via LeMat-Bulk, functional PBE.

Results
ρ = 10.64 Mg/m³
SG = P3m1
Energy = -8.476 eV per atom

a b c (Å): 3.812 4.727 4.727
angles (deg): 120.00 90.00 90.00
Sites, in units of the cell vectors:
Gd 0.666 0.333 0.667
Bi 0.165 0.000 0.000
Pd 0.168 0.667 0.333


(2)
A geometry-optimized TcAs2P structure. Source: Alexandria via LeMat-Bulk, functional PBE.

Results
ρ = 5.38 Mg/m³
SG = I-42d
Energy = -5.960 eV per atom

a b c (Å): 5.657 5.657 6.699
angles (deg): 65.02 65.02 90.00
Sites, in units of the cell vectors:
Tc 0.000 0.000 0.000
Tc 0.750 0.250 0.500
P 0.250 0.750 0.500
P 0.500 0.500 0.000
As 0.631 0.125 0.250
As 0.375 0.369 0.750
As 0.119 0.625 0.250
As 0.875 0.881 0.750


(3)
A geometry-optimized Ca3AlSi2Au8 structure. Source: Alexandria via LeMat-Bulk, functional PBE.

Results
ρ = 10.20 Mg/m³
Uncorrected formation energy = -0.42 eV/atom
SG = P-3m1
Energy = -3.767 eV per atom

a b c (Å): 5.725 5.725 10.205
angles (deg): 90.00 90.00 120.00
Sites, in units of the cell vectors:
Au 0.835 0.165 0.708
Au 0.670 0.835 0.292
Au 0.165 0.835 0.292
Au 0.165 0.330 0.292
Au 0.835 0.670 0.708
Au 0.667 0.333 0.125
Au 0.330 0.165 0.708
Au 0.333 0.667 0.875
Ca 0.333 0.667 0.571
Ca 0.667 0.333 0.429
Ca 0.000 0.000 0.000
Si 0.333 0.667 0.110
Si 0.667 0.333 0.890
Al 0.000 0.000 0.500